a) Material: TaRu3Br
Method: DFT, PBE-GGA
State: relaxed

Cell: 4.8403 4.8403 4.8403 Å, 90.00 90.00 90.00°
Last column: nearest neighbours and their distance in Å.
Fractional coordinates of all 5 atoms:
1 Ru 0.0000 0.5000 0.0000  2 Ta 2.42
2 Ru 0.0000 0.0000 0.5000  2 Ta 2.42
3 Ru 0.5000 0.0000 0.0000  2 Ta 2.42
4 Br 0.5000 0.5000 0.5000  12 Ru 3.42
5 Ta 0.0000 0.0000 0.0000  6 Ru 2.42



b) Material: TaRu3Br
Method: DFT, PBE-GGA
State: relaxed

Cell: 4.4971 4.4971 4.4971 Å, 90.00 90.00 90.00°
Last column: nearest neighbours and their distance in Å.
Fractional coordinates of all 5 atoms:
1 Ru 0.0000 0.5000 0.0000  2 Br 2.25
2 Ru 0.0000 0.0000 0.5000  2 Br 2.25
3 Ru 0.5000 0.0000 0.0000  2 Br 2.25
4 Br 0.0000 0.0000 0.0000  6 Ru 2.25
5 Ta 0.5000 0.5000 0.5000  12 Ru 3.18



So which one is most stable? That would be b), about 121 meV/atom below the next structure.